1.
Below is an optimized crystal structure of BaZr, with properties calculated at the PBE level.

Results
The value obtained for the calculated total energy is -19.358 eV for the cell shown. Its energy above the most stable polymorph in this dataset is 49.5 meV/atom. The calculation puts the energy of formation from the pure elements at 38.19 kJ/mol of atoms. As for the crystal system: triclinic.

abc: 3.4770 3.4782 11.9908
angles: 82.64 81.96 89.85
Last column: nearest neighbours and their distance in Å.
Fractional coordinates of all 4 atoms:
Ba  0.0858  0.0967  0.3386  5 Ba 3.48-3.80
Ba  0.9142  0.9033  0.6614  5 Ba 3.48-3.80
Zr  0.2892  0.2861  0.9189  8 Zr 3.11-3.48
Zr  0.7108  0.7139  0.0811  8 Zr 3.11-3.48


2.
Below is an optimized crystal structure of BaZr, with properties calculated at the PBE level.

Results
The value obtained for the calculated total energy is -28.467 eV for the cell shown. Its energy above the most stable polymorph in this dataset is 144.6 meV/atom. The calculation puts the energy of formation from the pure elements at 47.36 kJ/mol of atoms. As for the crystal system: orthorhombic.

abc: 8.9147 8.9147 8.9147
angles: 155.98 60.96 124.90
Last column: nearest neighbours and their distance in Å.
Fractional coordinates of all 6 atoms:
Ba  0.0000  0.0000  0.0000  5 Zr 3.54-3.67, 2 Ba 3.71
Ba  0.5018  0.2139  0.2878  5 Zr 3.57-3.93, 2 Ba 3.71
Ba  0.9261  0.2139  0.7122  5 Zr 3.57-3.93, 2 Ba 3.71
Zr  0.2521  0.8438  0.4083  3 Zr 2.82-2.99
Zr  0.4355  0.8438  0.5917  3 Zr 2.82-2.99
Zr  0.5708  0.5708  0.0000  4 Zr 2.99


3.
Below is an optimized crystal structure of BaZr, with properties calculated at the PBE level.

Results
The value obtained for the calculated total energy is -17.750 eV for the cell shown. Its energy above the most stable polymorph in this dataset is 451.5 meV/atom. The calculation puts the energy of formation from the pure elements at 76.98 kJ/mol of atoms. As for the crystal system: hexagonal.

abc: 6.2843 6.2843 5.1700
angles: 90.00 90.00 120.00
Last column: nearest neighbours and their distance in Å.
Fractional coordinates of all 4 atoms:
Ba  0.3333  0.6667  0.2500  6 Zr 3.85
Ba  0.6667  0.3333  0.7500  6 Zr 3.85
Zr  0.0000  0.0000  0.0000  2 Zr 2.59
Zr  0.0000  0.0000  0.5000  2 Zr 2.59